[1]
Ba4HIr: optimized geometry, PBE.

Unit cell a=4.532 b=7.383 c=7.498 alpha=90.81 beta=90.00 gamma=90.00
Positions (direct):
Ir: 0.000 0.000 0.000
Ba: 0.500 0.226 0.173
Ba: 0.500 0.774 0.827
H: 0.500 0.000 0.500
Ba: 0.000 0.226 0.670
Ba: 0.000 0.774 0.330

Distance to the lowest polymorph of the same formula, meV/atom: 0
Mass density, g/cm3: 4.9
M_tot, μB per atom: 0.00
Space-group type: P2/m, No. 10

***

[2]
Ac2BiBRh6: optimized geometry, PBE.

Unit cell a=5.962 b=7.482 c=8.822 alpha=90.00 beta=90.00 gamma=90.00
Positions (direct):
Rh: 0.730 0.000 0.000
Ac: 0.500 0.722 0.727
Rh: 0.230 0.000 0.500
Rh: 0.770 0.000 0.500
Ac: 0.000 0.278 0.227
B: 0.500 0.175 0.500
Bi: 0.500 0.327 0.000
Ac: 0.500 0.722 0.273
Rh: 0.500 0.134 0.737
Rh: 0.270 0.000 0.000
B: 0.000 0.825 0.000
Ac: 0.000 0.278 0.773
Rh: 0.000 0.866 0.237
Rh: 0.235 0.617 0.000
Rh: 0.265 0.383 0.500
Bi: 0.000 0.673 0.500
Rh: 0.000 0.866 0.763
Rh: 0.765 0.617 0.000
Rh: 0.500 0.134 0.263
Rh: 0.735 0.383 0.500

Formation enthalpy at 0 K, meV per atom: -498
Mass density, g/cm3: 10.9
M_tot, μB per atom: 0.00
Space-group type: Pmmn, No. 59

***

Which value of mass density does entry 2 give? 10.9 g/cm3

***

What is the M_tot in the second record? 0.00 μB per atom